Entry 1:
## PaGaFeRh (PBE)

Data for a relaxed structure of PaGaFeRh.

Cell and atoms, written as POSCAR:
```
PaGaFeRh
1.0
4.5684 0.0000 0.0000
2.2842 3.9564 0.0000
2.2842 1.3188 3.7301
Ga Rh Pa Fe
1 1 1 1
direct
0.2500 0.2500 0.2500 Ga
0.5000 0.5000 0.5000 Rh
0.7500 0.7500 0.7500 Pa
0.0000 0.0000 0.0000 Fe
```

Results
Symmetry: No. 216
Formation enthalpy at 0 K: -0.387 eV/atom

Entry 2:
## ScPaGaFe (PBE)

Data for a relaxed structure of ScPaGaFe.

Cell and atoms, written as POSCAR:
```
ScPaGaFe
1.0
4.7744 0.0000 0.0000
2.3872 4.1348 0.0000
2.3872 1.3783 3.8983
Pa Fe Ga Sc
1 1 1 1
direct
0.0000 0.0000 0.0000 Pa
0.7500 0.7500 0.7500 Fe
0.2500 0.2500 0.2500 Ga
0.5000 0.5000 0.5000 Sc
```

Results
Symmetry: No. 216
Formation enthalpy at 0 K: -0.123 eV/atom

Entry 3:
## PaGaFeSi (PBE)

Data for a relaxed structure of PaGaFeSi.

Cell and atoms, written as POSCAR:
```
PaGaFeSi
1.0
-0.0582 -4.0552 -0.6302
0.4621 2.5077 -2.8139
5.4072 -0.5840 3.2586
Pa Si Ga Fe
1 1 1 1
direct
0.0613 0.1226 0.0091 Pa
0.8398 0.6796 0.3829 Si
0.5752 0.1505 0.6368 Ga
0.4196 0.8391 0.2267 Fe
```

Results
Symmetry: No. 8
Formation energy without anion corrections: -0.210 eV per atom

Entry 4:
## Pa2ZnGaFe (PBE)

Data for a relaxed structure of Pa2ZnGaFe.

Cell and atoms, written as POSCAR:
```
Pa2ZnGaFe
1.0
4.2748 0.0000 0.0000
0.0000 7.3342 0.8154
0.0000 -2.0858 6.1366
Pa Fe Zn Ga
4 2 2 2
direct
0.2500 0.1069 0.4316 Pa
0.7500 0.8931 0.5684 Pa
0.7500 0.7904 0.0198 Pa
0.2500 0.2096 0.9802 Pa
0.2500 0.8592 0.7679 Fe
0.7500 0.1408 0.2321 Fe
0.2500 0.6612 0.3091 Zn
0.7500 0.3388 0.6909 Zn
0.7500 0.4684 0.2838 Ga
0.2500 0.5316 0.7162 Ga
```

Results
Symmetry: No. 11
Formation enthalpy at 0 K: -0.123 eV/atom

Entry 5:
## GaFe2Pb (PBE)

Data for a relaxed structure of GaFe2Pb.

Cell and atoms, written as POSCAR:
```
GaFe2Pb
1.0
-3.5807 1.0500 2.2311
-1.1051 4.1753 0.4975
-3.4688 1.5934 -2.0809
Ga Fe Pb
1 2 1
direct
0.0000 0.0000 0.0000 Ga
0.2500 0.2500 0.2500 Fe
0.7500 0.7500 0.7500 Fe
0.5000 0.5000 0.5000 Pb
```

Results
Symmetry: No. 225
Formation enthalpy at 0 K: 0.503 eV/atom

Entry 6:
## GaFePb2 (PBE)

Data for a relaxed structure of GaFePb2.

Cell and atoms, written as POSCAR:
```
GaFePb2
1.0
-7.1839 -6.7066 1.2837
6.3524 -5.8805 4.8274
-1.0118 -5.2651 5.0927
Ga Fe Pb
2 2 4
direct
0.7500 0.2500 0.5000 Ga
0.0000 0.0000 0.0000 Ga
0.5000 0.5000 0.0000 Fe
0.2500 0.7500 0.5000 Fe
0.3783 0.1250 0.2500 Pb
0.3717 0.6250 0.2500 Pb
0.3750 0.6217 0.7500 Pb
0.8750 0.6283 0.7500 Pb
```

Results
Symmetry: No. 122
Formation enthalpy at 0 K: 0.302 eV/atom

The records above yield E values of -7.471; -6.953; -6.812; -6.474; -5.412; -4.425 eV per atom, respectively.